No. 1
VASP calculation (GGA-PBE) on crystalline Pr4SiRh4 at its relaxed geometry.

## Properties
N(E_F): 0.711 states/eV/atom
formation energy from raw total energies: -0.69 eV per atom

Cell lengths 5.7443, 8.5554, 8.5554 Å; angles 90.00, 90.00, 90.00 degrees
With the nearest neighbours (Å) after each atom.
Atoms (fractional coordinates):
Pr: 0.8925 0.4664 0.8119  4 Rh 2.90-3.17, 1 Si 3.22
Pr: 0.8925 0.0336 0.6881  4 Rh 2.90-3.17, 1 Si 3.22
Pr: 0.3925 0.3119 0.5336  4 Rh 2.90-3.17, 1 Si 3.22
Pr: 0.1075 0.5336 0.1881  4 Rh 2.90-3.17, 1 Si 3.22
Pr: 0.6075 0.8119 0.0336  4 Rh 2.90-3.17, 1 Si 3.22
Pr: 0.1075 0.9664 0.3119  4 Rh 2.90-3.17, 1 Si 3.22
Pr: 0.6075 0.6881 0.4664  4 Rh 2.90-3.17, 1 Si 3.22
Pr: 0.3925 0.1881 0.9664  4 Rh 2.90-3.17, 1 Si 3.22
Si: 0.7500 0.2500 0.2500  4 Rh 2.31
Si: 0.2500 0.7500 0.7500  4 Rh 2.31
Rh: 0.1026 0.8535 0.9794  1 Si 2.31
Rh: 0.3974 0.5206 0.8535  1 Si 2.31
Rh: 0.8974 0.1465 0.0206  1 Si 2.31
Rh: 0.6026 0.0206 0.3535  1 Si 2.31
Rh: 0.1026 0.6465 0.5206  1 Si 2.31
Rh: 0.3974 0.9794 0.6465  1 Si 2.31
Rh: 0.8974 0.3535 0.4794  1 Si 2.31
Rh: 0.6026 0.4794 0.1465  1 Si 2.31

=====

No. 2
VASP calculation (GGA-PBE) on crystalline Pr2SiRh at its relaxed geometry.

## Properties
N(E_F): 0.933 states/eV/atom
formation energy from raw total energies: -0.70 eV per atom

Cell lengths 4.3101, 5.6262, 8.9406 Å; angles 114.54, 90.00, 90.00 degrees
With the nearest neighbours (Å) after each atom.
Atoms (fractional coordinates):
Pr: 0.2500 0.7868 0.5723  3 Rh 3.05-3.24, 4 Si 3.06-3.21
Pr: 0.7500 0.2036 0.9237  4 Rh 2.97-3.21, 3 Si 3.06-3.25
Pr: 0.7500 0.2132 0.4277  3 Rh 3.05-3.24, 4 Si 3.06-3.21
Pr: 0.2500 0.7964 0.0763  4 Rh 2.97-3.21, 3 Si 3.06-3.25
Rh: 0.7500 0.6228 0.7832  2 Si 2.48
Rh: 0.2500 0.3772 0.2168  2 Si 2.48
Si: 0.7500 0.6151 0.2797  2 Rh 2.48
Si: 0.2500 0.3849 0.7203  2 Rh 2.48

=====

No. 3
VASP calculation (GGA-PBE) on crystalline PrSiRh at its relaxed geometry.

## Properties
N(E_F): 1.109 states/eV/atom
formation energy from raw total energies: -0.86 eV per atom

Cell lengths 4.3019, 4.1551, 4.1551 Å; angles 120.00, 90.00, 90.00 degrees
With the nearest neighbours (Å) after each atom.
Atoms (fractional coordinates):
Rh: 0.1670 0.3333 0.6667  3 Si 2.40
Pr: 0.6666 0.6667 0.3333  6 Rh 3.22, 6 Si 3.22
Si: 0.1665 0.0000 0.0000  3 Rh 2.40

=====

Question: What is the formula in the first record?
Answer: Pr4SiRh4